# V2GaSnO8 PBE with a Hubbard U relaxed
# Total DFT energy (no corrections) in eV/atom: -6.760
data_V2GaSnO8
_chemical_formula_sum 'V2 Ga1 Sn1 O8'
_cell_length_a 5.6847
_cell_length_b 5.6847
_cell_length_c 5.9807
_cell_angle_alpha 90.00
_cell_angle_beta 90.00
_cell_angle_gamma 120.00
_symmetry_space_group_name_H-M 'P -3 m 1'
_symmetry_Int_Tables_number 164
_symmetry_space_group_name_Hall '-P 3 2"'
loop_
_atom_site_label
_atom_site_fract_x
_atom_site_fract_y
_atom_site_fract_z
V1 0.3333 0.6667 0.2868
Ga1 0.0000 0.0000 0.0000
Sn1 0.0000 0.0000 0.5000
O1 0.1556 0.3113 0.2149
O2 0.3333 0.6667 0.5598

***

# GaSnWO2 PBE with a Hubbard U relaxed
# Total DFT energy (no corrections) in eV/atom: -5.643
data_GaSnWO2
_chemical_formula_sum 'Ga1 Sn1 W1 O2'
_cell_length_a 3.9358
_cell_length_b 3.9358
_cell_length_c 6.0091
_cell_angle_alpha 90.00
_cell_angle_beta 90.00
_cell_angle_gamma 90.00
_symmetry_space_group_name_H-M 'P 4/m m m'
_symmetry_Int_Tables_number 123
_symmetry_space_group_name_Hall '-P 4 2'
loop_
_atom_site_label
_atom_site_fract_x
_atom_site_fract_y
_atom_site_fract_z
Ga1 0.0000 0.0000 0.0000
Sn1 0.5000 0.5000 0.0000
W1 0.5000 0.5000 0.5000
O1 0.0000 0.5000 0.5000